The following is a PBE calculation of a relaxed Cr2CuTcRh crystal, from Alexandria via LeMat-Bulk.

Its energy relative to the elements is 1.4093 eV/atom. Its space-group type is No. 123. Its crystal system is tetragonal. The density of states at the Fermi level is 6.4 states/eV/cell.

Cell lengths 4.443, 4.618, 4.443 Å; angles 90.00, 90.00, 90.00 degrees
Positions (direct):
Cr1 0.000 0.000 0.500
Cr2 0.500 0.000 0.000
Tc1 0.000 0.000 0.000
Rh1 0.500 0.500 0.500
Cu1 0.000 0.500 0.000